# 1
Entry from Alexandria: crystalline Rb3Ga2Au3 at its relaxed geometry (PBE-GGA).

The structure in CIF format:
```
data_Rb3Ga2Au3
_chemical_formula_sum 'Rb6 Ga4 Au6'
_cell_length_a 4.7768
_cell_length_b 7.1104
_cell_length_c 16.2391
_cell_angle_alpha 90.00
_cell_angle_beta 90.00
_cell_angle_gamma 109.63
_symmetry_space_group_name_H-M 'P 1'
_symmetry_Int_Tables_number 1
loop_
_symmetry_equiv_pos_as_xyz
'x,y,z'
loop_
_atom_site_label
_atom_site_fract_x
_atom_site_fract_y
_atom_site_fract_z
_atom_site_occupancy
Rb1 0.6140 0.2281 0.2500 1
Rb2 0.3860 0.7719 0.7500 1
Rb3 0.0704 0.1409 0.8948 1
Rb4 0.9296 0.8591 0.1052 1
Rb5 0.9296 0.8591 0.3948 1
Rb6 0.0704 0.1409 0.6052 1
Ga1 0.2202 0.4404 0.4020 1
Ga2 0.7798 0.5596 0.5980 1
Ga3 0.7798 0.5596 0.9020 1
Ga4 0.2202 0.4404 0.0980 1
Au1 0.6749 0.3499 0.4559 1
Au2 0.7015 0.4030 0.7500 1
Au3 0.6749 0.3499 0.0441 1
Au4 0.3251 0.6501 0.5441 1
Au5 0.3251 0.6501 0.9559 1
Au6 0.2985 0.5970 0.2500 1
```

Properties
Density of states at the Fermi level ... 6.98 states/eV per cell
SG ... Cmcm (63)
DFT formation energy ... -0.264 eV/atom

---

# 2
Entry from Alexandria: crystalline ScMnTe2I at its relaxed geometry (PBE-GGA).

The structure in CIF format:
```
data_ScMnTe2I
_chemical_formula_sum 'Sc1 Mn1 Te2 I1'
_cell_length_a 5.5862
_cell_length_b 5.5862
_cell_length_c 5.6788
_cell_angle_alpha 90.00
_cell_angle_beta 90.00
_cell_angle_gamma 90.00
_symmetry_space_group_name_H-M 'P 1'
_symmetry_Int_Tables_number 1
loop_
_symmetry_equiv_pos_as_xyz
'x,y,z'
loop_
_atom_site_label
_atom_site_fract_x
_atom_site_fract_y
_atom_site_fract_z
_atom_site_occupancy
Te1 0.0000 0.5000 0.0000 1
Te2 0.5000 0.0000 0.0000 1
Mn1 0.5000 0.5000 0.5000 1
I1 0.0000 0.0000 0.5000 1
Sc1 0.0000 0.0000 0.0000 1
```

Properties
Formation energy (no corrections) ... -0.1 eV per formula unit
Density of states at the Fermi level ... 2.36 states/eV per cell
SG ... P4/mmm (123)

---

# 3
Entry from Alexandria: crystalline ZrHgAu3 at its relaxed geometry (PBE-GGA).

The structure in CIF format:
```
data_ZrHgAu3
_chemical_formula_sum 'Zr1 Hg1 Au3'
_cell_length_a 5.0940
_cell_length_b 5.0940
_cell_length_c 5.0940
_cell_angle_alpha 90.00
_cell_angle_beta 90.00
_cell_angle_gamma 90.00
_symmetry_space_group_name_H-M 'P 1'
_symmetry_Int_Tables_number 1
loop_
_symmetry_equiv_pos_as_xyz
'x,y,z'
loop_
_atom_site_label
_atom_site_fract_x
_atom_site_fract_y
_atom_site_fract_z
_atom_site_occupancy
Hg1 0.0000 0.0000 0.0000 1
Zr1 0.5000 0.5000 0.5000 1
Au1 0.0000 0.5000 0.0000 1
Au2 0.5000 0.0000 0.0000 1
Au3 0.0000 0.0000 0.5000 1
```

Properties
Density of states at the Fermi level ... 5.14 states/eV per cell
SG ... Pm-3m (221)
DFT formation energy ... 0.792 eV/atom

---

# 4
Entry from Alexandria: crystalline BaY2W at its relaxed geometry (PBE-GGA).

The structure in CIF format:
```
data_BaY2W
_chemical_formula_sum 'Ba1 Y2 W1'
_cell_length_a 6.5829
_cell_length_b 6.5829
_cell_length_c 3.2145
_cell_angle_alpha 76.54
_cell_angle_beta 76.54
_cell_angle_gamma 116.41
_symmetry_space_group_name_H-M 'P 1'
_symmetry_Int_Tables_number 1
loop_
_symmetry_equiv_pos_as_xyz
'x,y,z'
loop_
_atom_site_label
_atom_site_fract_x
_atom_site_fract_y
_atom_site_fract_z
_atom_site_occupancy
Y1 0.0000 0.0000 0.0000 1
Y2 0.5000 0.5000 0.0000 1
W1 0.0000 0.5000 0.5000 1
Ba1 0.5000 0.0000 0.5000 1
```

Properties
Density of states at the Fermi level ... 5.91 states/eV per cell
SG ... C2/m (12)
DFT formation energy ... 0.979 eV/atom

---

# 5
Entry from Alexandria: crystalline Ac4LaNd15 at its relaxed geometry (PBE-GGA).

The structure in CIF format:
```
data_Ac4LaNd15
_chemical_formula_sum 'Ac4 La1 Nd15'
_cell_length_a 6.2177
_cell_length_b 6.2177
_cell_length_c 19.2143
_cell_angle_alpha 90.00
_cell_angle_beta 90.00
_cell_angle_gamma 90.00
_symmetry_space_group_name_H-M 'P 1'
_symmetry_Int_Tables_number 1
loop_
_symmetry_equiv_pos_as_xyz
'x,y,z'
loop_
_atom_site_label
_atom_site_fract_x
_atom_site_fract_y
_atom_site_fract_z
_atom_site_occupancy
Ac1 0.0000 0.0000 0.8041 1
Ac2 0.0000 0.0000 0.1959 1
Ac3 0.0000 0.0000 0.3982 1
Ac4 0.0000 0.0000 0.6018 1
Nd1 0.5000 0.0000 0.7012 1
Nd2 0.5000 0.5000 0.4004 1
Nd3 0.0000 0.5000 0.7012 1
Nd4 0.5000 0.5000 0.0000 1
Nd5 0.5000 0.5000 0.2012 1
Nd6 0.5000 0.0000 0.0966 1
Nd7 0.0000 0.5000 0.2988 1
Nd8 0.5000 0.5000 0.5996 1
Nd9 0.0000 0.5000 0.0966 1
Nd10 0.5000 0.0000 0.5000 1
Nd11 0.0000 0.5000 0.5000 1
Nd12 0.5000 0.0000 0.9034 1
Nd13 0.5000 0.0000 0.2988 1
Nd14 0.0000 0.5000 0.9034 1
Nd15 0.5000 0.5000 0.7988 1
La1 0.0000 0.0000 0.0000 1
```

Properties
Density of states at the Fermi level ... 43.37 states/eV per cell
SG ... P4/mmm (123)
DFT formation energy ... 0.111 eV/atom

---

# 6
Entry from Alexandria: crystalline ZnSbPb2 at its relaxed geometry (PBE-GGA).

The structure in CIF format:
```
data_ZnSbPb2
_chemical_formula_sum 'Zn1 Sb1 Pb2'
_cell_length_a 4.5369
_cell_length_b 4.5369
_cell_length_c 7.1625
_cell_angle_alpha 71.54
_cell_angle_beta 71.54
_cell_angle_gamma 60.00
_symmetry_space_group_name_H-M 'P 1'
_symmetry_Int_Tables_number 1
loop_
_symmetry_equiv_pos_as_xyz
'x,y,z'
loop_
_atom_site_label
_atom_site_fract_x
_atom_site_fract_y
_atom_site_fract_z
_atom_site_occupancy
Zn1 0.6680 0.6680 0.9961 1
Sb1 0.5012 0.5012 0.4965 1
Pb1 0.2599 0.2599 0.2203 1
Pb2 0.0710 0.0710 0.7871 1
```

Properties
Formation energy (no corrections) ... 0.5 eV per formula unit
Density of states at the Fermi level ... 1.73 states/eV per cell
SG ... R3m (160)

---

Repeat the first record exactly.
Entry from Alexandria: crystalline Rb3Ga2Au3 at its relaxed geometry (PBE-GGA).

The structure in CIF format:
```
data_Rb3Ga2Au3
_chemical_formula_sum 'Rb6 Ga4 Au6'
_cell_length_a 4.7768
_cell_length_b 7.1104
_cell_length_c 16.2391
_cell_angle_alpha 90.00
_cell_angle_beta 90.00
_cell_angle_gamma 109.63
_symmetry_space_group_name_H-M 'P 1'
_symmetry_Int_Tables_number 1
loop_
_symmetry_equiv_pos_as_xyz
'x,y,z'
loop_
_atom_site_label
_atom_site_fract_x
_atom_site_fract_y
_atom_site_fract_z
_atom_site_occupancy
Rb1 0.6140 0.2281 0.2500 1
Rb2 0.3860 0.7719 0.7500 1
Rb3 0.0704 0.1409 0.8948 1
Rb4 0.9296 0.8591 0.1052 1
Rb5 0.9296 0.8591 0.3948 1
Rb6 0.0704 0.1409 0.6052 1
Ga1 0.2202 0.4404 0.4020 1
Ga2 0.7798 0.5596 0.5980 1
Ga3 0.7798 0.5596 0.9020 1
Ga4 0.2202 0.4404 0.0980 1
Au1 0.6749 0.3499 0.4559 1
Au2 0.7015 0.4030 0.7500 1
Au3 0.6749 0.3499 0.0441 1
Au4 0.3251 0.6501 0.5441 1
Au5 0.3251 0.6501 0.9559 1
Au6 0.2985 0.5970 0.2500 1
```

Properties
Density of states at the Fermi level ... 6.98 states/eV per cell
SG ... Cmcm (63)
DFT formation energy ... -0.264 eV/atom